# 1
Entry from Alexandria: a relaxed Rb2InCoBr6 crystal (GGA-PBE).

The structure in POSCAR format:
```
Rb2InCoBr6
1.0
-6.4356 3.4117 2.3422
-4.0766 -4.4811 -4.6737
-5.7592 -4.1931 2.7807
Rb Br In Co
2 6 1 1
Direct
0.7500 0.2500 0.5000
0.2500 0.7500 0.5000
0.7282 0.2718 0.0000
0.7288 0.7288 0.5423
0.2718 0.2718 0.0000
0.7282 0.7282 0.0000
0.2712 0.2712 0.4577
0.2718 0.7282 0.0000
0.0000 0.0000 0.0000
0.5000 0.5000 0.0000
```

# 2
Entry from Alexandria: a relaxed In2CoReBr crystal (GGA-PBE).

The structure in POSCAR format:
```
In2CoReBr
1.0
5.3935 0.0000 0.0000
0.0000 4.7272 0.0000
0.0000 0.0000 5.3935
In Re Co Br
2 1 1 1
Direct
0.5000 0.0000 0.0000
0.0000 0.0000 0.5000
0.0000 0.0000 0.0000
0.5000 0.5000 0.5000
0.0000 0.5000 0.0000
```

# 3
Entry from Alexandria: a relaxed InCoRe2Br crystal (GGA-PBE).

The structure in POSCAR format:
```
InCoRe2Br
1.0
5.1600 0.0000 0.0000
0.0000 4.8149 0.0000
0.0000 0.0000 5.1600
Re Br In Co
2 1 1 1
Direct
0.5000 0.0000 0.0000
0.0000 0.0000 0.5000
0.5000 0.5000 0.5000
0.0000 0.0000 0.0000
0.0000 0.5000 0.0000
```

# 4
Entry from Alexandria: a relaxed In2CoSBr crystal (GGA-PBE).

The structure in POSCAR format:
```
In2CoSBr
1.0
5.1865 0.0000 0.0000
0.0000 4.4217 0.0000
0.0000 0.0000 5.1865
Co In Br S
1 2 1 1
Direct
0.0000 0.0000 0.0000
0.0000 0.0000 0.5000
0.5000 0.0000 0.0000
0.0000 0.5000 0.0000
0.5000 0.5000 0.5000
```

# 5
Entry from Alexandria: a relaxed In2CoSbBr crystal (GGA-PBE).

The structure in POSCAR format:
```
In2CoSbBr
1.0
-3.9135 -3.2911 -0.4438
1.5972 -2.4668 4.2081
-2.7052 2.8528 2.6991
Co Br In Sb
1 1 2 1
Direct
0.0000 0.0000 0.0000
0.5000 0.5000 0.5000
0.0000 0.5000 0.0000
0.5000 0.0000 0.0000
0.0000 0.0000 0.5000
```

# 6
Entry from Alexandria: a relaxed Sc2InCoBr crystal (GGA-PBE).

The structure in POSCAR format:
```
Sc2InCoBr
1.0
4.9236 0.0000 0.0000
0.0000 5.4270 0.0000
0.0000 0.0000 4.9236
In Co Br Sc
1 1 1 2
Direct
0.0000 0.5000 0.0000
0.5000 0.5000 0.5000
0.0000 0.0000 0.0000
0.5000 0.0000 0.0000
0.0000 0.0000 0.5000
```

# 7
GGA-PBE Tl2InCoBr, optimized geometry; E above lowest polymorph = 0.906 eV per atom
1.0
5.8456 0.0000 0.0000
0.0000 5.5784 0.0000
0.0000 0.0000 5.8456
Tl In Br Co
2 1 1 1
Direct
0.0000 0.0000 0.5000
0.5000 0.0000 0.0000
0.0000 0.0000 0.0000
0.0000 0.5000 0.0000
0.5000 0.5000 0.5000

# 8
GGA-PBE Tl2InCoBr, optimized geometry; E above lowest polymorph = 0.000 eV per atom
1.0
-3.9186 2.8888 1.6908
-3.0658 -2.0529 -3.5980
-1.3161 -3.6660 3.2131
Tl Br Co In
2 1 1 1
Direct
0.5000 0.0000 0.0000
0.0000 0.5000 0.0000
0.5000 0.5000 0.5000
0.0000 0.0000 0.0000
0.0000 0.0000 0.5000

Listing formation energy without anion corrections for the structures above in their given order: -9.7 6.0 13.0 0.8 -0.9 3.2 3.8 -0.7 eV/f.u..